[1]
Density functional theory data (PBE) for a geometry-optimized AcCdInHg3 structure.

For the density of states at the Fermi level, the calculation gives 0.352 states/eV/atom. The calculation puts the formation energy at -297 meV per atom.

The space group is Cmcm (No. 63) and the conventional cell measures 5.007, 17.064 and 7.622 Å, with angles of 90.00, 90.00 and 90.00 degrees. The inequivalent atoms are Ac at (0.000, 0.186, 0.250), Cd at (0.000, 0.483, 0.750), In at (0.000, 0.000, 0.000), Hg at (0.000, 0.171, 0.750) and Hg at (0.000, 0.361, 0.028).


[2]
Density functional theory data (PBE) for a geometry-optimized Ac3CdIn3Hg2 structure.

For the density of states at the Fermi level, the calculation gives 0.593 states/eV/atom. The calculation puts the formation energy at -450 meV per atom.

The space group is P-62m (No. 189) and the conventional cell measures 8.1275, 8.1275 and 4.7566 Å, with angles of 90.00, 90.00 and 120.00 degrees. The inequivalent atoms are Ac at (0.0000, 0.4180, 0.0000), Cd at (0.0000, 0.0000, 0.0000), In at (0.0000, 0.7586, 0.5000) and Hg at (0.3333, 0.6667, 0.5000).


[3]
Density functional theory data (PBE) for a geometry-optimized Ac4CdIn2Hg structure.

For the density of states at the Fermi level, the calculation gives 1.390 states/eV/atom. The calculation puts the formation energy at -401 meV per atom.

The space group is R-3m (No. 166, hexagonal axes) and the conventional cell measures 5.7853, 5.7853 and 28.3240 Å, with angles of 90.00, 90.00 and 120.00 degrees. The inequivalent atoms are Ac at (0.0000, 0.0000, 0.1240), Ac at (0.0000, 0.0000, 0.3740), Cd at (0.0000, 0.0000, 0.5000), In at (0.0000, 0.0000, 0.2486) and Hg at (0.0000, 0.0000, 0.0000).


[4]
Density functional theory data (PBE) for a geometry-optimized Ac4CdInHg2 structure.

For the density of states at the Fermi level, the calculation gives 1.270 states/eV/atom. The calculation puts the formation energy at -405 meV per atom.

The space group is R-3m (No. 166, hexagonal axes) and the conventional cell measures 5.7515, 5.7515 and 28.2688 Å, with angles of 90.00, 90.00 and 120.00 degrees. The inequivalent atoms are Ac at (0.0000, 0.0000, 0.1248), Ac at (0.0000, 0.0000, 0.3747), Cd at (0.0000, 0.0000, 0.0000), In at (0.0000, 0.0000, 0.5000) and Hg at (0.0000, 0.0000, 0.2512).


[5]
Density functional theory data (PBE) for a geometry-optimized Ac3CdIn2Hg6 structure.

For the density of states at the Fermi level, the calculation gives 0.626 states/eV/atom. The calculation puts the formation energy at -267 meV per atom.

The space group is P-3m1 (No. 164) and the conventional cell measures 6.5956, 6.5956 and 9.4992 Å, with angles of 90.00, 90.00 and 120.00 degrees. The inequivalent atoms are Ac at (0.0000, 0.0000, 0.0000), Ac at (0.3333, 0.6667, 0.6184), Cd at (0.0000, 0.0000, 0.5000), In at (0.3333, 0.6667, 0.9924) and Hg at (0.1776, 0.3552, 0.2745).


[6]
Density functional theory data (PBE) for a geometry-optimized AcCdInHg2 structure.

For the density of states at the Fermi level, the calculation gives 0.573 states/eV/atom. The calculation puts the formation energy at -328 meV per atom.

The space group is I-4m2 (No. 119) and the conventional cell measures 4.660, 4.660 and 12.687 Å, with angles of 90.00, 90.00 and 90.00 degrees. The inequivalent atoms are Ac at (0.000, 0.000, 0.000), Cd at (0.000, 0.500, 0.750), In at (0.000, 0.500, 0.250) and Hg at (0.000, 0.000, 0.389).


[7]
Density functional theory data (PBE) for a geometry-optimized Ac2Cd4In3Hg structure.

For the density of states at the Fermi level, the calculation gives 0.485 states/eV/atom. The calculation puts the formation energy at -317 meV per atom.

The space group is P-4m2 (No. 115) and the conventional cell measures 4.798, 4.798 and 12.047 Å, with angles of 90.00, 90.00 and 90.00 degrees. The inequivalent atoms are Ac at (0.000, 0.500, 0.250), Cd at (0.000, 0.000, 0.000), Cd at (0.000, 0.500, 0.635), Cd at (0.500, 0.500, 0.000), In at (0.000, 0.500, 0.864), In at (0.500, 0.500, 0.500) and Hg at (0.000, 0.000, 0.500).


[8]
Density functional theory data (PBE) for a geometry-optimized KAcCdHg structure.

For the density of states at the Fermi level, the calculation gives 0.966 states/eV/atom. The calculation puts the formation energy at -162 meV per atom.

The space group is F-43m (No. 216) and the conventional cell measures 8.136, 8.136 and 8.136 Å, with angles of 90.00, 90.00 and 90.00 degrees. The inequivalent atoms are K at (0.000, 0.000, 0.000), Ac at (0.000, 0.000, 0.500), Cd at (0.250, 0.250, 0.750) and Hg at (0.250, 0.250, 0.250).


[9]
Density functional theory data (PBE) for a geometry-optimized LiAc2Cd6Hg structure.

For the density of states at the Fermi level, the calculation gives 0.475 states/eV/atom. The calculation puts the formation energy at -212 meV per atom.

The space group is R-3m (No. 166, hexagonal axes) and the conventional cell measures 7.0097, 7.0097 and 37.3623 Å, with angles of 90.00, 90.00 and 120.00 degrees. The inequivalent atoms are Li at (0.0000, 0.0000, 0.0000), Li at (0.0000, 0.0000, 0.5000), Ac at (0.0000, 0.0000, 0.1090), Ac at (0.0000, 0.0000, 0.2814), Cd at (0.0393, 0.5196, 0.3024), Cd at (0.0568, 0.5284, 0.8618) and Hg at (0.0000, 0.0000, 0.4265).


[10]
Density functional theory data (PBE) for a geometry-optimized Li2AcCdHg2 structure.

For the density of states at the Fermi level, the calculation gives 0.681 states/eV/atom. The calculation puts the formation energy at -208 meV per atom.

The space group is R-3m (No. 166, hexagonal axes) and the conventional cell measures 4.2031, 4.2031 and 32.0468 Å, with angles of 90.00, 90.00 and 120.00 degrees. The inequivalent atoms are Li at (0.0000, 0.0000, 0.2171), Ac at (0.0000, 0.0000, 0.0000), Cd at (0.0000, 0.0000, 0.5000) and Hg at (0.0000, 0.0000, 0.4065).


[11]
Density functional theory data (PBE) for a geometry-optimized Li4AcCd2Hg structure.

For the density of states at the Fermi level, the calculation gives 0.708 states/eV/atom. The calculation puts the formation energy at -195 meV per atom.

The space group is R-3m (No. 166, hexagonal axes) and the conventional cell measures 4.7309, 4.7309 and 28.6074 Å, with angles of 90.00, 90.00 and 120.00 degrees. The inequivalent atoms are Li at (0.0000, 0.0000, 0.0902), Li at (0.0000, 0.0000, 0.3635), Ac at (0.0000, 0.0000, 0.5000), Cd at (0.0000, 0.0000, 0.2523) and Hg at (0.0000, 0.0000, 0.0000).


[12]
Density functional theory data (PBE) for a geometry-optimized LiAc2CdHg6 structure.

For the density of states at the Fermi level, the calculation gives 0.627 states/eV/atom. The calculation puts the formation energy at -283 meV per atom.

The space group is P-1 (No. 2) and the conventional cell measures 6.029, 7.353 and 7.415 Å, with angles of 76.52, 66.63 and 67.85 degrees. The inequivalent atoms are Li at (0.000, 0.000, 0.000), Ac at (0.496, 0.743, 0.266), Cd at (0.000, 0.500, 0.500), Hg at (0.005, 0.308, 0.173), Hg at (0.150, 0.076, 0.602) and Hg at (0.490, 0.721, 0.813).


[13]
Density functional theory data (PBE) for a geometry-optimized Li2AcCdHg5 structure.

For the density of states at the Fermi level, the calculation gives 0.399 states/eV/atom. The calculation puts the formation energy at -262 meV per atom.

The space group is P4/mmm (No. 123) and the conventional cell measures 5.194, 5.194 and 7.978 Å, with angles of 90.00, 90.00 and 90.00 degrees. The inequivalent atoms are Li at (0.000, 0.000, 0.164), Ac at (0.500, 0.500, 0.500), Cd at (0.500, 0.500, 0.000), Hg at (0.000, 0.000, 0.500) and Hg at (0.000, 0.500, 0.219).


[14]
Density functional theory data (PBE) for a geometry-optimized Li3Ac2CdHg4 structure.

For the density of states at the Fermi level, the calculation gives 0.897 states/eV/atom. The calculation puts the formation energy at -359 meV per atom.

The space group is P-4m2 (No. 115) and the conventional cell measures 4.667, 4.667 and 11.583 Å, with angles of 90.00, 90.00 and 90.00 degrees. The inequivalent atoms are Li at (0.000, 0.000, 0.000), Li at (0.000, 0.500, 0.617), Ac at (0.000, 0.500, 0.263), Cd at (0.500, 0.500, 0.000), Hg at (0.000, 0.000, 0.500), Hg at (0.000, 0.500, 0.847) and Hg at (0.500, 0.500, 0.500).


[15]
Density functional theory data (PBE) for a geometry-optimized LiAcCdHg6 structure.

For the density of states at the Fermi level, the calculation gives 0.520 states/eV/atom. The calculation puts the formation energy at -157 meV per atom.

The space group is Imma (No. 74) and the conventional cell measures 7.959, 10.051 and 12.188 Å, with angles of 90.00, 90.00 and 90.00 degrees. The inequivalent atoms are Li at (0.000, 0.000, 0.000), Ac at (0.000, 0.250, 0.212), Cd at (0.250, 0.250, 0.750), Hg at (0.000, 0.250, 0.535), Hg at (0.000, 0.250, 0.934) and Hg at (0.201, 0.024, 0.377).


[16]
Density functional theory data (PBE) for a geometry-optimized Ac2Mg12Cd3Hg structure.

For the density of states at the Fermi level, the calculation gives 0.748 states/eV/atom. The calculation puts the formation energy at 43 meV per atom.

The space group is R-3m (No. 166, hexagonal axes) and the conventional cell measures 6.7534, 6.7534 and 38.2236 Å, with angles of 90.00, 90.00 and 120.00 degrees. The inequivalent atoms are Ac at (0.0000, 0.0000, 0.1397), Mg at (0.0038, 0.5019, 0.8879), Mg at (0.0328, 0.5164, 0.6125), Cd at (0.0000, 0.5000, 0.0000) and Hg at (0.0000, 0.0000, 0.5000).


[17]
Density functional theory data (PBE) for a geometry-optimized Ac3MgCd2Hg6 structure.

For the density of states at the Fermi level, the calculation gives 0.775 states/eV/atom. The calculation puts the formation energy at -284 meV per atom.

The space group is P-3m1 (No. 164) and the conventional cell measures 6.5939, 6.5939 and 9.3921 Å, with angles of 90.00, 90.00 and 120.00 degrees. The inequivalent atoms are Ac at (0.0000, 0.0000, 0.0000), Ac at (0.3333, 0.6667, 0.6172), Mg at (0.0000, 0.0000, 0.5000), Cd at (0.3333, 0.6667, 0.9965) and Hg at (0.1776, 0.3551, 0.2806).


[18]
Density functional theory data (PBE) for a geometry-optimized Ac2MgCd4Hg3 structure.

For the density of states at the Fermi level, the calculation gives 0.789 states/eV/atom. The calculation puts the formation energy at -289 meV per atom.

The space group is P-4m2 (No. 115) and the conventional cell measures 4.622, 4.622 and 12.797 Å, with angles of 90.00, 90.00 and 90.00 degrees. The inequivalent atoms are Ac at (0.000, 0.500, 0.242), Mg at (0.000, 0.000, 0.500), Cd at (0.000, 0.000, 0.000), Cd at (0.000, 0.500, 0.638), Cd at (0.500, 0.500, 0.000), Hg at (0.000, 0.500, 0.859) and Hg at (0.500, 0.500, 0.500).


[19]
Density functional theory data (PBE) for a geometry-optimized AcMgCd2Hg8 structure.

For the density of states at the Fermi level, the calculation gives 0.384 states/eV/atom. The calculation puts the formation energy at -114 meV per atom.

The space group is C2/m (No. 12) and the conventional cell measures 9.011, 5.862 and 12.281 Å, with angles of 90.00, 91.40 and 90.00 degrees. The inequivalent atoms are Ac at (0.000, 0.000, 0.000), Mg at (0.000, 0.000, 0.500), Cd at (0.187, 0.500, 0.844), Hg at (0.039, 0.243, 0.294), Hg at (0.163, 0.500, 0.098) and Hg at (0.175, 0.500, 0.523).


[20]
Density functional theory data (PBE) for a geometry-optimized AcMg4Cd2Hg structure.

For the density of states at the Fermi level, the calculation gives 0.436 states/eV/atom. The calculation puts the formation energy at -180 meV per atom.

The space group is R-3m (No. 166, hexagonal axes) and the conventional cell measures 4.9354, 4.9354 and 29.0078 Å, with angles of 90.00, 90.00 and 120.00 degrees. The inequivalent atoms are Ac at (0.0000, 0.0000, 0.0000), Mg at (0.0000, 0.0000, 0.1300), Mg at (0.0000, 0.0000, 0.4039), Cd at (0.0000, 0.0000, 0.2565) and Hg at (0.0000, 0.0000, 0.5000).